1.
{
  "formula": "KCd2W",
  "functional": "GGA-PBE",
  "state": "optimized geometry",
  "cell": [[-0.195, 2.495, 1.429], [-0.515, -1.439, 2.443], [10.684, -0.339, 2.051]],
  "species": ["Cd", "Cd", "K", "W"],
  "fractional_positions": [[0.000, 0.000, 0.985], [0.500, 0.500, 0.226], [0.000, 0.000, 0.508], [0.500, 0.500, 0.781]],
  "de_polymorph_ev_per_fu": 0.44
}


2.
{
  "formula": "K2CdW",
  "functional": "GGA-PBE",
  "state": "optimized geometry",
  "cell": [[2.910, 0.000, 0.000], [0.000, 4.680, 0.000], [0.000, 0.000, 10.060]],
  "species": ["Cd", "K", "K", "W"],
  "fractional_positions": [[0.500, 0.500, 0.669], [0.000, 0.000, 0.921], [0.500, 0.500, 0.326], [0.000, 0.000, 0.584]]
}


3.
{
  "formula": "K2CdW",
  "functional": "GGA-PBE",
  "state": "optimized geometry",
  "cell": [[3.004, 0.063, 0.000], [-0.070, 3.004, 0.000], [0.000, 0.000, 12.347]],
  "species": ["Cd", "K", "K", "W"],
  "fractional_positions": [[0.500, 0.500, 0.709], [0.000, 0.000, 0.953], [0.500, 0.500, 0.302], [0.000, 0.000, 0.535]]
}


4.
{
  "formula": "KCd2W",
  "functional": "GGA-PBE",
  "state": "optimized geometry",
  "cell": [[2.870, 0.237, 0.000], [-0.702, 2.793, 0.000], [0.000, 0.000, 10.977]],
  "species": ["Cd", "Cd", "K", "W"],
  "fractional_positions": [[0.000, 0.000, 0.985], [0.500, 0.500, 0.227], [0.000, 0.000, 0.508], [0.500, 0.500, 0.780]],
  "de_polymorph_ev_per_fu": 0.43
}


5.
{
  "formula": "K2CdW",
  "functional": "GGA-PBE",
  "state": "optimized geometry",
  "cell": [[5.736, 0.000, 0.000], [0.000, 4.663, 0.000], [0.000, 0.000, 4.663]],
  "species": ["Cd", "K", "K", "W"],
  "fractional_positions": [[0.500, 0.000, 0.500], [0.000, 0.000, 0.000], [0.000, 0.500, 0.500], [0.500, 0.500, 0.000]]
}


6.
{
  "formula": "KCdW3",
  "functional": "GGA-PBE",
  "state": "optimized geometry",
  "cell": [[-2.630, -3.758, 0.295], [2.807, -1.711, 3.213], [-2.517, 2.018, 3.274]],
  "species": ["K", "W", "W", "W", "Cd"],
  "fractional_positions": [[0.000, 0.000, 0.000], [0.000, 0.500, 0.000], [0.000, 0.000, 0.500], [0.500, 0.000, 0.000], [0.500, 0.500, 0.500]],
  "de_polymorph_ev_per_fu": 1.95
}


7.
{
  "formula": "KCd2W",
  "functional": "GGA-PBE",
  "state": "optimized geometry",
  "cell": [[-1.707, -2.342, -4.886], [0.734, -5.633, 0.068], [-2.468, 3.617, 3.619]],
  "species": ["Cd", "Cd", "K", "W"],
  "fractional_positions": [[0.000, 0.000, 0.000], [0.250, 0.750, 0.500], [0.500, 0.500, 0.000], [0.750, 0.250, 0.500]],
  "de_polymorph_ev_per_fu": 2.51
}


8.
{
  "formula": "K2CdW",
  "functional": "GGA-PBE",
  "state": "optimized geometry",
  "cell": [[-0.386, -0.681, -2.825], [-2.340, -0.809, 1.570], [-5.230, 11.250, -1.996]],
  "species": ["Cd", "K", "K", "W"],
  "fractional_positions": [[0.500, 0.500, 0.750], [0.000, 0.000, 0.012], [0.000, 0.000, 0.488], [0.500, 0.500, 0.250]]
}


9.
{
  "formula": "KCd2W",
  "functional": "GGA-PBE",
  "state": "optimized geometry",
  "cell": [[-3.383, 1.302, 3.528], [-4.089, -1.272, 2.693], [4.001, -2.893, 5.537]],
  "species": ["Cd", "Cd", "K", "W"],
  "fractional_positions": [[0.991, 0.991, 0.067], [0.509, 0.509, 0.433], [0.750, 0.750, 0.750], [0.250, 0.250, 0.250]],
  "de_polymorph_ev_per_fu": 0.68
}


10.
{
  "formula": "K2CdW",
  "functional": "GGA-PBE",
  "state": "optimized geometry",
  "cell": [[9.624, 0.000, 0.000], [0.000, 9.624, 0.000], [4.812, 4.812, 3.051]],
  "species": ["K", "K", "K", "K", "W", "W", "Cd", "Cd"],
  "fractional_positions": [[0.614, 0.125, 0.250], [0.136, 0.625, 0.250], [0.375, 0.386, 0.750], [0.875, 0.864, 0.750], [0.000, 0.000, 0.000], [0.750, 0.250, 0.500], [0.500, 0.500, 0.000], [0.250, 0.750, 0.500]]
}


11.
{
  "formula": "K2CdW",
  "functional": "GGA-PBE",
  "state": "optimized geometry",
  "cell": [[-1.460, 2.602, 4.247], [-0.311, 0.137, 5.179], [8.631, 4.302, 0.733]],
  "species": ["Cd", "K", "K", "W"],
  "fractional_positions": [[0.754, 0.754, 0.673], [0.008, 0.008, 0.918], [0.246, 0.246, 0.329], [0.492, 0.492, 0.581]]
}


12.
{
  "formula": "KCd2W",
  "functional": "GGA-PBE",
  "state": "optimized geometry",
  "cell": [[-2.950, -6.538, 9.062], [-0.110, -7.431, 8.851], [-0.791, -4.974, 10.402]],
  "species": ["Cd", "Cd", "K", "W"],
  "fractional_positions": [[0.004, 0.004, 0.004], [0.256, 0.256, 0.256], [0.498, 0.498, 0.498], [0.742, 0.742, 0.742]],
  "de_polymorph_ev_per_fu": 0.43
}


Going through the records in order, we get total DFT energy (no corrections) values of -0.237 -0.222 -0.219 -0.237 -0.192 -0.341 -0.199 -0.217 -0.233 -0.187 -0.216 -0.237 Ry/atom.
Going through the records in order, we get magnetic moment values of 0.0 1.5 0.0 0.0 4.1 0.0 3.1 0.0 0.6 4.2 1.4 0.0 μB per formula unit.
Going through the records in order, we get energy of formation from the pure elements values of 2.973 4.007 4.166 2.957 5.627 17.707 5.038 4.277 3.210 5.906 4.315 2.963 eV/f.u..